No. 1
Crystalline Tl3H4Se at its relaxed geometry, computed with GGA-PBE.

The value obtained for the uncorrected energy is -22.5 eV per cell. As for the calculated density: 6.80 g/cm3.

The space group is P1 (No. 1) and the conventional cell measures 3.8751, 6.4058 and 7.1292 Å, with angles of 92.90, 105.75 and 90.17 degrees. Symmetry generates all atoms from Tl at (0.0000, 0.0000, 0.0000), Tl at (0.1810, 0.6020, 0.3476), Tl at (0.7694, 0.0987, 0.5284), H at (0.3020, 0.0507, 0.5947), H at (0.4030, 0.4775, 0.8408), H at (0.6402, 0.9811, 0.2635), H at (0.7484, 0.3918, 0.4839) and Se at (0.5153, 0.3800, 0.0334).


No. 2
Crystalline MnBe2H6 at its relaxed geometry, computed with GGA-PBE.

The value obtained for the uncorrected energy is -139.0 eV per cell. As for the calculated density: 2.68 g/cm3.

The space group is Fm-3m (No. 225) and the conventional cell measures 5.8072, 5.8072 and 5.8072 Å, with angles of 90.00, 90.00 and 90.00 degrees. Symmetry generates all atoms from Mn at (0.0000, 0.0000, 0.0000), Be at (0.2500, 0.2500, 0.2500) and H at (0.0000, 0.0000, 0.2679).


No. 3
Crystalline ErBiS2 at its relaxed geometry, computed with GGA-PBE.

As for the calculated density: 6.56 g/cm3. As for the formation energy (no corrections): -1.287 eV per atom.

The space group is R-3m (No. 166, hexagonal axes) and the conventional cell measures 3.8716, 3.8716 and 25.7793 Å, with angles of 90.00, 90.00 and 120.00 degrees. Symmetry generates all atoms from Er at (0.0000, 0.0000, 0.0000), Bi at (0.0000, 0.0000, 0.5000) and S at (0.0000, 0.0000, 0.3916).


No. 4
Crystalline Al3Ge at its relaxed geometry, computed with GGA-PBE.

As for the calculated density: 3.63 g/cm3. As for the formation enthalpy at 0 K: 0.1558 eV per atom.

The space group is Fm-3m (No. 225) and the conventional cell measures 6.5494, 6.5494 and 6.5494 Å, with angles of 90.00, 90.00 and 90.00 degrees. Symmetry generates all atoms from Al at (0.0000, 0.0000, 0.0000), Al at (0.2500, 0.2500, 0.2500) and Ge at (0.0000, 0.0000, 0.5000).


No. 5
Crystalline K2CdAu at its relaxed geometry, computed with GGA-PBE.

As for the calculated density: 3.82 g/cm3. As for the formation enthalpy at 0 K: -0.0795 eV per atom.

The space group is R3m (No. 160, hexagonal axes) and the conventional cell measures 4.6393, 4.6393 and 27.0866 Å, with angles of 90.00, 90.00 and 120.00 degrees. Symmetry generates all atoms from K at (0.0000, 0.0000, 0.0000), K at (0.0000, 0.0000, 0.1897), Cd at (0.0000, 0.0000, 0.7595) and Au at (0.0000, 0.0000, 0.5962).


No. 6
Crystalline KIr2Pb at its relaxed geometry, computed with GGA-PBE.

As for the calculated density: 12.12 g/cm3. As for the formation enthalpy at 0 K: 0.7853 eV per atom.

The space group is P4/mmm (No. 123) and the conventional cell measures 3.1520, 3.1520 and 8.7015 Å, with angles of 90.00, 90.00 and 90.00 degrees. Symmetry generates all atoms from K at (0.0000, 0.0000, 0.0000), Ir at (0.5000, 0.5000, 0.3000) and Pb at (0.0000, 0.0000, 0.5000).